1.
This record from Alexandria describes an optimized crystal structure of BaZrP2. The functional is PBE.

## Properties
ρ (g/cm3): 5.6
ΔH_f (0 K) (eV/atom): 0.26
Calculated volume (Å³/atom): 21.40
Total magnetic moment (μB/f.u.): 0.00
Distance to the lowest polymorph of the same formula (meV/atom): 1375

```
BaZrP2
1.0
4.947 0.000 0.000
2.473 4.284 0.000
2.473 1.428 4.039
Ba P Zr
1 2 1
direct
0.500 0.500 0.500
0.000 0.000 0.000
0.250 0.250 0.250
0.750 0.750 0.750
```

2.
This record from Alexandria describes an optimized crystal structure of UTe2Pd. The functional is PBE.

## Properties
ρ (g/cm3): 8.1
Calculated volume (Å³/atom): 30.70
Total magnetic moment (μB/f.u.): 1.99
Distance to the lowest polymorph of the same formula (meV/atom): 0
Raw formation energy (eV/atom): -0.5424

```
UTe2Pd
1.0
7.174 0.000 0.000
0.000 8.748 0.000
0.000 0.000 7.826
U Te Pd
4 8 4
direct
0.000 0.795 0.500
0.500 0.705 0.500
0.500 0.295 0.500
0.000 0.205 0.500
0.267 0.000 0.713
0.750 0.250 0.820
0.767 0.500 0.287
0.733 0.000 0.287
0.250 0.250 0.180
0.250 0.750 0.180
0.750 0.750 0.820
0.233 0.500 0.713
0.658 0.000 0.628
0.842 0.500 0.628
0.158 0.500 0.372
0.342 0.000 0.372
```

3.
This record from Alexandria describes an optimized crystal structure of BaCaTl2. The functional is PBE.

## Properties
ρ (g/cm3): 7.0
ΔH_f (0 K) (eV/atom): -0.37
Calculated volume (Å³/atom): 34.89
Total magnetic moment (μB/f.u.): 0.00

```
BaCaTl2
1.0
-5.441 1.296 1.127
-1.130 -1.622 -3.592
-0.720 -5.308 2.626
Tl Ca Ba
2 1 1
direct
0.000 0.125 0.915
0.500 0.125 0.317
0.500 0.624 0.861
0.000 0.625 0.407
```

4.
This record from Alexandria describes an optimized crystal structure of Th5Re2Hg. The functional is PBE.

## Properties
ρ (g/cm3): 13.2
ΔH_f (0 K) (eV/atom): -0.14
Calculated volume (Å³/atom): 27.34
Total magnetic moment (μB/f.u.): 0.00

```
Th5Re2Hg
1.0
-5.568 -5.719 0.736
-2.454 1.425 -7.496
8.443 -2.467 1.052
Th Re Hg
10 4 2
direct
0.521 0.707 0.729
0.793 0.979 0.271
0.000 0.000 0.000
0.500 0.500 0.000
0.207 0.021 0.729
0.707 0.207 0.729
0.021 0.521 0.729
0.293 0.793 0.271
0.979 0.479 0.271
0.479 0.293 0.271
0.139 0.361 0.000
0.639 0.139 0.000
0.361 0.861 0.000
0.861 0.639 0.000
0.750 0.750 0.500
0.250 0.250 0.500
```

5.
This record from Alexandria describes an optimized crystal structure of NbSnI2F. The functional is PBE.

## Properties
ρ (g/cm3): 5.6
Calculated volume (Å³/atom): 28.54
Total magnetic moment (μB/f.u.): 2.91
Raw formation energy (eV/atom): -0.1802

```
NbSnI2F
1.0
-1.017 -1.393 5.682
3.114 -2.583 -0.076
3.653 4.354 1.721
I Nb Sn F
2 1 1 1
direct
0.000 0.000 0.500
0.500 0.000 0.000
0.000 0.500 0.000
0.500 0.500 0.500
0.000 0.000 0.000
```

6.
This record from Alexandria describes an optimized crystal structure of Ba2LiPt. The functional is PBE.

## Properties
ρ (g/cm3): 6.3
ΔH_f (0 K) (eV/atom): -0.15
Calculated volume (Å³/atom): 31.26
Total magnetic moment (μB/f.u.): 0.00

```
Ba2LiPt
1.0
6.418 -0.059 0.000
2.900 5.726 0.000
-4.659 -2.833 3.386
Ba Li Pt
2 1 1
direct
0.000 0.000 0.000
0.750 0.250 0.500
0.500 0.500 0.000
0.250 0.750 0.500
```

7.
This record from Alexandria describes an optimized crystal structure of Sr3OsCl. The functional is PBE.

## Properties
ρ (g/cm3): 4.2
Calculated volume (Å³/atom): 39.08
Total magnetic moment (μB/f.u.): 0.00
Distance to the lowest polymorph of the same formula (meV/atom): 0
Raw formation energy (eV/atom): -0.0346

```
Sr3OsCl
1.0
-1.497 -3.923 4.005
-3.878 -2.269 -3.672
4.049 -3.624 -2.037
Sr Os Cl
3 1 1
direct
0.000 0.500 0.000
0.000 0.000 0.500
0.500 0.000 0.000
0.000 0.000 0.000
0.500 0.500 0.500
```

8.
This record from Alexandria describes an optimized crystal structure of CaTl2Hg9. The functional is PBE.

## Properties
ρ (g/cm3): 11.4
ΔH_f (0 K) (eV/atom): -0.13
Calculated volume (Å³/atom): 27.38
Total magnetic moment (μB/f.u.): 0.00

```
CaTl2Hg9
1.0
4.678 0.000 0.000
0.000 4.678 0.000
0.000 0.000 15.013
Ca Tl Hg
1 2 9
direct
0.000 0.000 0.000
0.000 0.000 0.331
0.000 0.000 0.669
0.500 0.500 0.000
0.500 0.500 0.322
0.500 0.500 0.678
0.500 0.000 0.158
0.500 0.000 0.500
0.500 0.000 0.842
0.000 0.500 0.158
0.000 0.500 0.500
0.000 0.500 0.842
```

9.
This record from Alexandria describes an optimized crystal structure of ZnNi4Ag. The functional is PBE.

## Properties
ρ (g/cm3): 8.9
ΔH_f (0 K) (eV/atom): 0.07
Calculated volume (Å³/atom): 12.75
Total magnetic moment (μB/f.u.): 0.96

```
ZnNi4Ag
1.0
-3.143 0.786 3.494
-0.102 4.221 2.207
-3.657 2.971 -0.709
Zn Ni Ag
1 4 1
direct
0.750 0.750 0.750
0.874 0.375 0.375
0.375 0.375 0.874
0.375 0.874 0.375
0.375 0.375 0.375
0.000 0.000 0.000
```

10.
This record from Alexandria describes an optimized crystal structure of ZrInPb. The functional is PBE.

## Properties
ρ (g/cm3): 8.8
ΔH_f (0 K) (eV/atom): 0.13
Calculated volume (Å³/atom): 26.06
Total magnetic moment (μB/f.u.): 0.00
Distance to the lowest polymorph of the same formula (meV/atom): 214

```
ZrInPb
1.0
-3.304 4.334 0.630
-1.191 -0.480 -2.941
-4.030 -7.207 4.559
Pb In Zr
2 2 2
direct
0.662 0.162 0.325
0.338 0.838 0.675
0.752 0.500 0.000
0.248 0.500 0.000
0.165 0.665 0.330
0.835 0.335 0.670
```

11.
This record from Alexandria describes an optimized crystal structure of TbSmHo. The functional is PBE.

## Properties
ρ (g/cm3): 7.3
ΔH_f (0 K) (eV/atom): 0.75
Calculated volume (Å³/atom): 35.97
Total magnetic moment (μB/f.u.): 0.00
Distance to the lowest polymorph of the same formula (meV/atom): 730

```
TbSmHo
1.0
-0.949 7.042 -2.575
-7.435 -0.550 1.238
0.966 2.688 6.997
Tb Ho Sm
4 4 4
direct
0.588 0.588 0.588
0.912 0.412 0.088
0.088 0.912 0.412
0.412 0.088 0.912
0.312 0.312 0.312
0.188 0.688 0.812
0.812 0.188 0.688
0.688 0.812 0.188
0.030 0.030 0.030
0.470 0.970 0.530
0.530 0.470 0.970
0.970 0.530 0.470
```

12.
This record from Alexandria describes an optimized crystal structure of Sr2LaP. The functional is PBE.

## Properties
ρ (g/cm3): 3.8
ΔH_f (0 K) (eV/atom): -0.56
Calculated volume (Å³/atom): 37.45
Total magnetic moment (μB/f.u.): 0.00
Distance to the lowest polymorph of the same formula (meV/atom): 3

```
Sr2LaP
1.0
3.822 0.000 0.000
0.000 3.822 0.000
0.000 0.000 10.256
Sr La P
2 1 1
direct
0.000 0.000 0.917
0.500 0.500 0.261
0.000 0.000 0.597
0.500 0.500 0.725
```

13.
This record from Alexandria describes an optimized crystal structure of SrNiMo2. The functional is PBE.

## Properties
ρ (g/cm3): 6.4
ΔH_f (0 K) (eV/atom): 0.74
Calculated volume (Å³/atom): 21.87
Total magnetic moment (μB/f.u.): 0.00
Distance to the lowest polymorph of the same formula (meV/atom): 284

```
SrNiMo2
1.0
4.545 0.000 0.000
0.000 3.266 0.318
0.000 0.904 5.982
Mo Ni Sr
2 1 1
direct
0.000 0.055 0.104
0.000 0.445 0.396
0.500 0.250 0.250
0.500 0.750 0.750
```

14.
This record from Alexandria describes an optimized crystal structure of La3Cd2. The functional is PBE.

## Properties
ρ (g/cm3): 6.7
ΔH_f (0 K) (eV/atom): -0.26
Calculated volume (Å³/atom): 31.77
Total magnetic moment (μB/f.u.): 0.45
Distance to the lowest polymorph of the same formula (meV/atom): 0

```
La3Cd2
1.0
3.893 0.000 0.000
0.000 3.893 0.000
0.000 0.000 20.962
La Cd
6 4
direct
0.000 0.000 0.881
0.000 0.000 0.119
0.000 0.000 0.310
0.000 0.000 0.500
0.000 0.000 0.690
0.500 0.500 0.000
0.500 0.500 0.213
0.500 0.500 0.405
0.500 0.500 0.595
0.500 0.500 0.787
```

15.
This record from Alexandria describes an optimized crystal structure of BiTeAs2Br. The functional is PBE.

## Properties
ρ (g/cm3): 6.0
Calculated volume (Å³/atom): 31.39
Total magnetic moment (μB/f.u.): 0.00
Distance to the lowest polymorph of the same formula (meV/atom): 0
Raw formation energy (eV/atom): 0.6635

```
BiTeAs2Br
1.0
5.445 0.000 0.000
0.000 5.445 0.000
0.000 0.000 5.293
As Te Bi Br
2 1 1 1
direct
0.000 0.500 0.000
0.500 0.000 0.000
0.000 0.000 0.000
0.500 0.500 0.500
0.000 0.000 0.500
```

16.
This record from Alexandria describes an optimized crystal structure of SrYTm. The functional is PBE.

## Properties
ρ (g/cm3): 5.2
ΔH_f (0 K) (eV/atom): 0.17
Calculated volume (Å³/atom): 36.50
Total magnetic moment (μB/f.u.): 0.00
Distance to the lowest polymorph of the same formula (meV/atom): 64

```
SrYTm
1.0
-0.888 -3.541 0.637
0.233 1.254 -3.479
8.919 -2.277 -0.223
Y Sr Tm
1 1 1
direct
0.333 0.667 0.645
0.000 0.000 0.002
0.667 0.333 0.353
```